The following is a DFT calculation (PBE-GGA) of a relaxed structure of RbTm2AgS4.

a b c (Å): 4.0318 7.1140 14.1443
angles (deg): 90.00 90.00 106.46
With the nearest neighbours (Å) after each atom.
Sites, in units of the cell vectors:
1 Tm 0.6316 0.2632 0.0647  6 S 2.71-2.85
2 Tm 0.3684 0.7368 0.9353  6 S 2.71-2.85
3 Tm 0.6316 0.2632 0.4353  6 S 2.71-2.85
4 Tm 0.3684 0.7368 0.5647  6 S 2.71-2.85
5 S 0.0000 0.0000 0.0000  4 Tm 2.85
6 S 0.7403 0.4806 0.9025  1 Ag 2.50, 3 Tm 2.71-2.73
7 S 0.5614 0.1227 0.2500  2 Ag 2.48
8 S 0.2597 0.5194 0.4025  1 Ag 2.50, 3 Tm 2.71-2.73
9 S 0.2597 0.5194 0.0975  1 Ag 2.50, 3 Tm 2.71-2.73
10 S 0.7403 0.4806 0.5975  1 Ag 2.50, 3 Tm 2.71-2.73
11 S 0.4386 0.8773 0.7500  2 Ag 2.48
12 S 0.0000 0.0000 0.5000  4 Tm 2.85
13 Rb 0.1158 0.2316 0.7500  6 S 3.15-3.41
14 Rb 0.8842 0.7684 0.2500  6 S 3.15-3.41
15 Ag 0.8329 0.6657 0.7500  4 S 2.48-2.50
16 Ag 0.1671 0.3343 0.2500  4 S 2.48-2.50

Properties
* total magnetization: 0.00 μB/atom
* ΔE_f (raw): -1.554 eV/atom
* SG: Cmcm, No. 63


The following is a DFT calculation (PBE-GGA) of a relaxed structure of RbTmAgS2.

a b c (Å): 5.0473 7.6491 7.6059
angles (deg): 98.54 90.00 90.00
With the nearest neighbours (Å) after each atom.
Sites, in units of the cell vectors:
1 Ag 0.0000 0.0000 0.5000  2 S 2.61
2 Ag 0.0000 0.0000 0.0000  2 S 2.61
3 Tm 0.4947 0.0000 0.2500  4 S 2.65
4 Tm 0.5053 0.0000 0.7500  4 S 2.65
5 S 0.3833 0.2311 0.0334  1 Ag 2.61, 2 Tm 2.65
6 S 0.6167 0.2311 0.5334  1 Ag 2.61, 2 Tm 2.65
7 S 0.6167 0.7689 0.9666  1 Ag 2.61, 2 Tm 2.65
8 S 0.3833 0.7689 0.4666  1 Ag 2.61, 2 Tm 2.65
9 Rb 0.8672 0.5000 0.2500  6 S 3.43-3.57
10 Rb 0.1328 0.5000 0.7500  6 S 3.43-3.57

Properties
* total magnetization: 0.00 μB/atom
* ΔE_f (raw): -1.103 eV/atom
* SG: P2/c, No. 13


The following is a DFT calculation (PBE-GGA) of a relaxed structure of Rb2UAg2S6.

a b c (Å): 7.4088 7.4088 7.3222
angles (deg): 90.00 90.00 120.00
With the nearest neighbours (Å) after each atom.
Sites, in units of the cell vectors:
1 S 0.6979 0.7955 0.7802  1 Ag 2.39, 1 U 2.55
2 S 0.7955 0.0976 0.2198  1 Ag 2.39, 1 U 2.55
3 S 0.0976 0.3021 0.7802  1 Ag 2.39, 1 U 2.55
4 S 0.2045 0.9024 0.7802  1 Ag 2.39, 1 U 2.55
5 S 0.9024 0.6979 0.2198  1 Ag 2.39, 1 U 2.55
6 S 0.3021 0.2045 0.2198  1 Ag 2.39, 1 U 2.55
7 Ag 0.3333 0.6667 0.8197  3 S 2.39
8 Ag 0.6667 0.3333 0.1803  3 S 2.39
9 U 0.0000 0.0000 0.0000  6 S 2.55
10 Rb 0.3333 0.6667 0.3204  3 S 3.40, 2 Ag 3.66-3.67
11 Rb 0.6667 0.3333 0.6796  3 S 3.40, 2 Ag 3.66-3.67

Properties
* total magnetization: 0.00 μB/atom
* ΔE_f (raw): -0.652 eV/atom
* SG: P-3, No. 147


The following is a DFT calculation (PBE-GGA) of a relaxed structure of RbUAg2S4.

a b c (Å): 6.6935 6.6571 6.6571
angles (deg): 69.34 59.82 59.82
With the nearest neighbours (Å) after each atom.
Sites, in units of the cell vectors:
1 S 0.1175 0.8682 0.4782  1 Ag 2.44, 1 U 2.53
2 S 0.4638 0.1318 0.5218  1 Ag 2.44, 1 U 2.53
3 S 0.5362 0.4782 0.8682  1 Ag 2.44, 1 U 2.53
4 S 0.8825 0.5218 0.1318  1 Ag 2.44, 1 U 2.53
5 U 0.5000 0.5000 0.5000  4 S 2.53
6 Rb 0.0000 0.0000 0.0000  8 S 3.37-3.49
7 Ag 0.8297 0.6703 0.6703  2 S 2.44
8 Ag 0.1703 0.3297 0.3297  2 S 2.44

Properties
* total magnetization: 0.12 μB/atom
* ΔE_f (raw): -0.672 eV/atom
* SG: I222, No. 23


The following is a DFT calculation (PBE-GGA) of a relaxed structure of RbU2Ag2S6.

a b c (Å): 7.2209 7.9899 8.0784
angles (deg): 125.10 91.81 60.25
With the nearest neighbours (Å) after each atom.
Sites, in units of the cell vectors:
1 U 0.1661 0.6643 0.1660  6 S 2.67-2.72
2 U 0.8339 0.3357 0.8340  6 S 2.67-2.72
3 S 0.1931 0.8404 0.5612  1 Ag 2.44, 2 U 2.70-2.72
4 S 0.9822 0.4428 0.1646  1 Ag 2.53, 2 U 2.67-2.68
5 S 0.5894 0.2306 0.9480  1 Ag 2.51, 2 U 2.67-2.69
6 S 0.4106 0.7694 0.0520  1 Ag 2.51, 2 U 2.67-2.69
7 S 0.8069 0.1596 0.4388  1 Ag 2.44, 2 U 2.70-2.72
8 S 0.0178 0.5572 0.8354  1 Ag 2.53, 2 U 2.67-2.68
9 Rb 0.5000 0.0000 0.5000  6 S 3.21-3.26
10 Ag 0.2027 0.7345 0.7923  3 S 2.44-2.53
11 Ag 0.7973 0.2655 0.2077  3 S 2.44-2.53

Properties
* total magnetization: 0.27 μB/atom
* ΔE_f (raw): -0.966 eV/atom
* SG: P-1, No. 2


The following is a DFT calculation (PBE-GGA) of a relaxed structure of Rb4U3AgS12.

a b c (Å): 8.9885 8.9885 8.9885
angles (deg): 109.47 109.47 109.47
With the nearest neighbours (Å) after each atom.
Sites, in units of the cell vectors:
1 S 0.7358 0.0000 0.7358  1 U 2.45
2 S 0.2500 0.7500 0.5000  2 U 2.59
3 S 0.2500 0.5000 0.7500  2 U 2.59
4 S 0.7358 0.7358 0.0000  1 U 2.45
5 S 0.0000 0.2642 0.2642  1 U 2.45
6 S 0.0000 0.7358 0.7358  1 U 2.45
7 S 0.5000 0.7500 0.2500  2 U 2.59
8 S 0.2642 0.2642 0.0000  1 U 2.45
9 S 0.7500 0.2500 0.5000  2 U 2.59
10 S 0.5000 0.2500 0.7500  2 U 2.59
11 S 0.7500 0.5000 0.2500  2 U 2.59
12 S 0.2642 0.0000 0.2642  1 U 2.45
13 Ag 0.0000 0.0000 0.0000  6 S 2.74
14 Rb 0.5000 0.5000 0.5000  12 S 3.67
15 Rb 0.0000 0.5000 0.0000  12 S 3.67
16 Rb 0.5000 0.0000 0.0000  12 S 3.67
17 Rb 0.0000 0.0000 0.5000  12 S 3.67
18 U 0.0000 0.5000 0.5000  6 S 2.45-2.59
19 U 0.5000 0.0000 0.5000  6 S 2.45-2.59
20 U 0.5000 0.5000 0.0000  6 S 2.45-2.59

Properties
* total magnetization: 0.00 μB/atom
* ΔE_f (raw): -1.103 eV/atom
* SG: Im-3m, No. 229


The following is a DFT calculation (PBE-GGA) of a relaxed structure of RbU2AgS6.

a b c (Å): 7.0163 7.0164 7.3397
angles (deg): 61.45 61.44 60.00
With the nearest neighbours (Å) after each atom.
Sites, in units of the cell vectors:
1 U 0.0039 0.0039 0.9883  6 S 2.62-2.63
2 U 0.5140 0.5140 0.4581  6 S 2.60-2.64
3 S 0.2637 0.8840 0.2178  2 U 2.63-2.64, 1 Ag 2.84
4 S 0.2194 0.2998 0.7185  2 U 2.60-2.62, 1 Ag 2.85
5 S 0.7623 0.2195 0.7185  2 U 2.60-2.62, 1 Ag 2.86
6 S 0.8842 0.6343 0.2177  2 U 2.63-2.64, 1 Ag 2.84
7 S 0.6344 0.2637 0.2178  2 U 2.63-2.64, 1 Ag 2.84
8 S 0.2998 0.7624 0.7183  2 U 2.60-2.62, 1 Ag 2.86
9 Ag 0.3192 0.3191 0.0423  6 S 2.84-2.86
10 Rb 0.7607 0.7608 0.7178  3 S 3.23

Properties
* total magnetization: 0.20 μB/atom
* ΔE_f (raw): -1.036 eV/atom
* SG: R3, No. 146


The following is a DFT calculation (PBE-GGA) of a relaxed structure of RbU2Ag2S7.

a b c (Å): 5.1624 5.2333 11.8365
angles (deg): 102.77 102.60 90.00
With the nearest neighbours (Å) after each atom.
Sites, in units of the cell vectors:
1 U 0.3837 0.3837 0.7673  6 S 2.56-2.62
2 U 0.6163 0.6162 0.2327  6 S 2.56-2.62
3 S 0.2701 0.2702 0.5402  1 U 2.56, 4 Ag 2.62-2.81
4 S 0.3922 0.8923 0.7844  1 Ag 2.55, 2 U 2.62
5 S 0.1126 0.6125 0.2252  2 U 2.58
6 S 0.5000 0.5000 0.0000  2 U 2.62
7 S 0.7299 0.7298 0.4598  1 U 2.56, 4 Ag 2.62-2.81
8 S 0.6077 0.1077 0.2156  1 Ag 2.55, 2 U 2.62
9 S 0.8874 0.3874 0.7749  2 U 2.58
10 Ag 0.2790 0.7792 0.5581  5 S 2.55-2.81
11 Ag 0.7210 0.2208 0.4419  5 S 2.55-2.81
12 Rb 0.0000 0.0000 0.0000  12 S 3.54-3.68

Properties
* total magnetization: 0.09 μB/atom
* ΔE_f (raw): -0.925 eV/atom
* SG: Immm, No. 71